Below is a relaxed structure of LiZrAg2, with properties calculated at the PBE-GGA level.

Computed properties:
DFT formation energy   0.129 eV per atom
Total magnetization   0.0 Bohr magnetons per cell
Space-group type   P2/m (10)

Unit cell a=2.8182 b=5.9585 c=5.8325 alpha=52.52 beta=90.00 gamma=90.00
Atoms (fractional coordinates):
Ag 0.0000 0.0000 0.0000
Ag 0.5000 0.5000 0.0000
Li 0.5000 0.5000 0.5000
Zr 0.0000 0.0000 0.5000